Record 1
Here is a geometry-optimized CaLaAsAu structure from Alexandria. Energies are from PBE.

Structure (POSCAR):
```
CaLaAsAu
1.0
-3.506 -3.765 -0.973
0.082 -4.435 2.781
-3.805 -0.992 3.458
Au As La Ca
1 1 1 1
Direct
0.500 0.500 0.500
0.000 0.000 0.000
0.750 0.750 0.750
0.250 0.250 0.250
```

DFT total energy = -18.73 eV per formula unit
energy of formation from the pure elements = -0.967 eV per atom
Fermi-level density of states = 2.4 states/eV per cell

=====

Record 2
Here is a geometry-optimized CaLaAsAu2 structure from Alexandria. Energies are from PBE.

Structure (POSCAR):
```
CaLaAsAu2
1.0
5.184 0.000 0.000
0.000 5.426 0.000
0.000 0.000 5.184
Au Ca La As
2 1 1 1
Direct
0.000 0.000 0.500
0.500 0.000 0.000
0.000 0.000 0.000
0.500 0.500 0.500
0.000 0.500 0.000
```

DFT total energy = -19.43 eV per formula unit
energy of formation from the pure elements = -0.259 eV per atom
Fermi-level density of states = 1.4 states/eV per cell

=====

Record 3
Here is a geometry-optimized Li2CaAs2Au2 structure from Alexandria. Energies are from PBE.

Structure (POSCAR):
```
Li2CaAs2Au2
1.0
-0.139 3.488 -2.745
1.341 -0.433 -4.211
-6.885 -0.940 -4.437
As Li Ca Au
2 2 1 2
Direct
0.746 0.746 0.762
0.254 0.254 0.238
0.860 0.860 0.421
0.140 0.140 0.579
0.000 0.000 0.000
0.571 0.571 0.288
0.429 0.429 0.712
```

DFT total energy = -26.66 eV per formula unit
energy of formation from the pure elements = -0.710 eV per atom
Fermi-level density of states = 1.4 states/eV per cell

=====

| no. | V (Å³ per cell) |
| --- | --- |
| 1 | 101.5 |
| 2 | 145.8 |
| 3 | 133.8 |